Entry i
## Pm4Zn3Co (PBE-GGA)

Data for a relaxed structure of Pm4Zn3Co.

Structure (POSCAR):
```
Pm4Zn3Co
1.0
3.591 0.000 0.000
0.000 3.591 0.000
0.000 0.000 14.618
Pm Zn Co
4 3 1
Direct
0.000 0.000 0.113
0.000 0.000 0.372
0.000 0.000 0.628
0.000 0.000 0.887
0.500 0.500 0.246
0.500 0.500 0.500
0.500 0.500 0.754
0.500 0.500 0.000
```

Summary:
The space group is P4/mmm, No. 123. The crystal system is tetragonal. The calculation puts the magnetization at 0.6 μB per formula unit.

=====

Entry ii
## Pm4Zn3Co (PBE-GGA)

Data for a relaxed structure of Pm4Zn3Co.

Structure (POSCAR):
```
Pm4Zn3Co
1.0
3.830 0.000 0.000
0.000 4.553 0.000
0.000 0.000 11.045
Pm Zn Co
4 3 1
Direct
0.000 0.000 0.000
0.000 0.500 0.266
0.500 0.000 0.459
0.500 0.500 0.777
0.000 0.000 0.691
0.000 0.500 0.553
0.500 0.500 0.061
0.500 0.000 0.187
```

Summary:
The space group is Pmm2, No. 25. The crystal system is orthorhombic. The calculation puts the magnetization at 0.0 μB per formula unit.

=====

Going by the computed energies, the most stable comes first: entry i, entry ii.

=====

Entry i
## Pm2ZnCo (PBE-GGA)

Data for a relaxed structure of Pm2ZnCo.

Structure (POSCAR):
```
Pm2ZnCo
1.0
0.000 3.542 3.542
3.542 0.000 3.542
3.542 3.542 0.000
Pm Zn Co
2 1 1
Direct
0.250 0.250 0.250
0.750 0.750 0.750
0.000 0.000 0.000
0.500 0.500 0.500
```

Summary:
The space group is Fm-3m, No. 225. The crystal system is cubic. The calculation puts the magnetization at 0.0 μB per formula unit.

=====

Entry ii
## Pm2ZnCo (PBE-GGA)

Data for a relaxed structure of Pm2ZnCo.

Structure (POSCAR):
```
Pm2ZnCo
1.0
6.175 0.000 0.000
0.000 3.874 0.000
-2.731 0.000 7.791
Pm Zn Co
4 2 2
Direct
0.209 0.250 0.409
0.214 0.250 0.947
0.786 0.750 0.053
0.791 0.750 0.591
0.378 0.750 0.717
0.622 0.250 0.283
0.324 0.750 0.212
0.676 0.250 0.788
```

Summary:
The space group is P2_1/m, No. 11. The crystal system is monoclinic. The calculation puts the magnetization at 0.0 μB per formula unit.

=====

Entry iii
## Pm2ZnCo (PBE-GGA)

Data for a relaxed structure of Pm2ZnCo.

Structure (POSCAR):
```
Pm2ZnCo
1.0
3.510 0.000 0.000
0.000 3.510 0.000
0.000 0.000 7.323
Pm Zn Co
2 1 1
Direct
0.000 0.000 0.230
0.000 0.000 0.770
0.500 0.500 0.500
0.500 0.500 0.000
```

Summary:
The space group is P4/mmm, No. 123. The crystal system is tetragonal. The calculation puts the magnetization at 0.6 μB per formula unit.

=====

Going by the computed energies, the most stable comes first: entry ii, entry iii, entry i.

=====

Entry i
## Pm8ZnCo2 (PBE-GGA)

Data for a relaxed structure of Pm8ZnCo2.

Structure (POSCAR):
```
Pm8ZnCo2
1.0
9.105 -2.601 0.000
9.105 2.601 0.000
-2.367 0.000 6.320
Pm Zn Co
8 1 2
Direct
0.033 0.033 0.286
0.196 0.196 0.849
0.318 0.318 0.486
0.404 0.404 0.012
0.596 0.596 0.988
0.682 0.682 0.514
0.804 0.804 0.151
0.967 0.967 0.714
0.500 0.500 0.500
0.166 0.166 0.225
0.834 0.834 0.775
```

Summary:
The space group is C2/m, No. 12. The crystal system is monoclinic. The calculation puts the magnetization at 0.0 μB per formula unit.

=====

Entry ii
## Pm8ZnCo2 (PBE-GGA)

Data for a relaxed structure of Pm8ZnCo2.

Structure (POSCAR):
```
Pm8ZnCo2
1.0
4.218 -6.779 0.000
4.218 6.779 0.000
-1.558 0.000 5.421
Pm Zn Co
8 1 2
Direct
0.083 0.338 0.564
0.239 0.761 0.000
0.338 0.083 0.564
0.387 0.387 0.188
0.613 0.613 0.812
0.662 0.917 0.436
0.761 0.239 0.000
0.917 0.662 0.436
0.000 0.000 0.000
0.288 0.712 0.500
0.712 0.288 0.500
```

Summary:
The space group is C2/m, No. 12. The crystal system is monoclinic. The calculation puts the magnetization at 0.0 μB per formula unit.

=====

Going by the computed energies, the most stable comes first: entry i, entry ii.

=====

Entry i
## Pm4ZnCo (PBE-GGA)

Data for a relaxed structure of Pm4ZnCo.

Structure (POSCAR):
```
Pm4ZnCo
1.0
0.000 6.789 6.789
6.789 0.000 6.789
6.789 6.789 0.000
Pm Zn Co
16 4 4
Direct
0.189 0.189 0.811
0.189 0.811 0.189
0.189 0.811 0.811
0.400 0.400 0.400
0.400 0.400 0.799
0.400 0.799 0.400
0.558 0.558 0.942
0.558 0.942 0.558
0.558 0.942 0.942
0.799 0.400 0.400
0.811 0.189 0.189
0.811 0.189 0.811
0.811 0.811 0.189
0.942 0.558 0.558
0.942 0.558 0.942
0.942 0.942 0.558
0.173 0.173 0.173
0.173 0.173 0.481
0.173 0.481 0.173
0.481 0.173 0.173
0.174 0.609 0.609
0.609 0.174 0.609
0.609 0.609 0.174
0.609 0.609 0.609
```

Summary:
The space group is F-43m, No. 216. The crystal system is cubic. The calculation puts the magnetization at 0.0 μB per formula unit.

=====

Entry ii
## Pm4ZnCo (PBE-GGA)

Data for a relaxed structure of Pm4ZnCo.

Structure (POSCAR):
```
Pm4ZnCo
1.0
5.382 0.000 0.000
0.000 4.667 0.000
-1.615 0.000 6.939
Pm Zn Co
4 1 1
Direct
0.065 0.000 0.272
0.428 0.500 0.726
0.572 0.500 0.274
0.935 0.000 0.728
0.000 0.500 0.000
0.500 0.000 0.500
```

Summary:
The space group is P2/m, No. 10. The crystal system is monoclinic. The calculation puts the magnetization at 0.0 μB per formula unit.

=====

Going by the computed energies, the most stable comes first: entry i, entry ii.